# Sc4In2AgHg

A relaxed Sc4In2AgHg crystal (GGA-PBE, the Alexandria database).

```
Sc4In2AgHg
1.0
2.4912 1.4383 8.1495
-2.4912 1.4383 8.1495
0.0000 -2.8765 8.1495
Sc In Ag Hg
4 2 1 1
direct
0.1244 0.1244 0.1244 Sc
0.3746 0.3746 0.3746 Sc
0.6254 0.6254 0.6254 Sc
0.8756 0.8756 0.8756 Sc
0.2518 0.2518 0.2518 In
0.7482 0.7482 0.7482 In
0.0000 0.0000 0.0000 Ag
0.5000 0.5000 0.5000 Hg
```

## Properties
The formation energy comes out at -0.40 eV/atom. As for the total magnetization: 0.0512 μB/atom. The value obtained for the total energy is -4.642 eV/atom.

***

# Ac3Zn2Pd

A relaxed Ac3Zn2Pd crystal (GGA-PBE, the Alexandria database).

```
Ac3Zn2Pd
1.0
3.8926 0.0000 0.0000
0.0000 3.8926 0.0000
0.0000 0.0000 11.5521
Ac Zn Pd
3 2 1
direct
0.0000 0.0000 0.0000 Ac
0.0000 0.0000 0.3412 Ac
0.0000 0.0000 0.6588 Ac
0.5000 0.5000 0.1671 Zn
0.5000 0.5000 0.8329 Zn
0.5000 0.5000 0.5000 Pd
```

## Properties
The formation energy comes out at -0.41 eV/atom. For the energy above the lowest structure with this stoichiometry, the calculation gives 0.0 meV/atom. As for the total magnetization: 0.0000 μB/atom. The value obtained for the total energy is -3.756 eV/atom.

***

# Ba2CrCo

A relaxed Ba2CrCo crystal (GGA-PBE, the Alexandria database).

```
Ba2CrCo
1.0
3.6855 -2.1261 0.0000
3.6855 2.1261 0.0000
-2.3683 0.0000 8.7772
Ba Cr Co
2 1 1
direct
0.0000 0.0000 0.0000 Ba
0.1705 0.1705 0.5296 Ba
0.4182 0.4182 0.2641 Cr
0.7522 0.7522 0.2659 Co
```

## Properties
The formation energy comes out at 0.45 eV/atom. For the energy above the lowest structure with this stoichiometry, the calculation gives 0.0 meV/atom. As for the total magnetization: 0.7734 μB/atom. The value obtained for the total energy is -4.697 eV/atom.